No. 1
Below is an optimized crystal structure of MgSi2Pt2, with properties calculated at the PBE level.

Lattice parameters (Å, degrees): 7.143 7.143 3.164 90.00 90.00 90.00
Fractional coordinates of all 10 atoms:
Mg (0.000, 0.000, 0.000)
Mg (0.500, 0.500, 0.000)
Si (0.112, 0.388, 0.000)
Si (0.388, 0.888, 0.000)
Si (0.612, 0.112, 0.000)
Si (0.888, 0.612, 0.000)
Pt (0.214, 0.714, 0.500)
Pt (0.286, 0.214, 0.500)
Pt (0.714, 0.786, 0.500)
Pt (0.786, 0.286, 0.500)

As for the space-group type: No. 127. The energy relative to the elements, uncorrected comes out at -0.38 eV/atom. The value obtained for the total magnetization is 0.00 μB per formula unit. The volume is 16.14 Å³ per atom. The calculation puts the density of states at the Fermi level at 0.227 states/eV/atom.

No. 2
Below is an optimized crystal structure of MgSiPt2, with properties calculated at the PBE level.

Lattice parameters (Å, degrees): 3.216 3.308 5.716 90.00 90.00 90.00
Fractional coordinates of all 4 atoms:
Mg (0.000, 0.000, 0.000)
Si (0.000, 0.000, 0.500)
Pt (0.500, 0.500, 0.263)
Pt (0.500, 0.500, 0.737)

As for the space-group type: No. 47. The energy relative to the elements, uncorrected comes out at -0.60 eV/atom. The value obtained for the total magnetization is 0.00 μB per formula unit. The volume is 15.20 Å³ per atom. The calculation puts the density of states at the Fermi level at 0.418 states/eV/atom.

No. 3
Below is an optimized crystal structure of Mg8Si2Pt, with properties calculated at the PBE level.

Lattice parameters (Å, degrees): 8.164 8.164 6.589 111.85 111.85 32.19
Fractional coordinates of all 11 atoms:
Mg (0.026, 0.026, 0.299)
Mg (0.190, 0.190, 0.780)
Mg (0.337, 0.337, 0.557)
Mg (0.406, 0.406, 0.061)
Mg (0.594, 0.594, 0.939)
Mg (0.663, 0.663, 0.443)
Mg (0.810, 0.810, 0.220)
Mg (0.974, 0.974, 0.701)
Si (0.179, 0.179, 0.183)
Si (0.821, 0.821, 0.817)
Pt (0.500, 0.500, 0.500)

As for the space-group type: No. 12. The energy relative to the elements, uncorrected comes out at -0.24 eV/atom. The value obtained for the total magnetization is 0.00 μB per formula unit. The volume is 19.61 Å³ per atom. The calculation puts the density of states at the Fermi level at 0.281 states/eV/atom.

No. 4
Below is an optimized crystal structure of MgSiPt3, with properties calculated at the PBE level.

Lattice parameters (Å, degrees): 4.622 4.622 4.622 90.00 90.00 90.00
Fractional coordinates of all 5 atoms:
Mg (0.000, 0.000, 0.000)
Si (0.500, 0.500, 0.500)
Pt (0.000, 0.000, 0.500)
Pt (0.000, 0.500, 0.000)
Pt (0.500, 0.000, 0.000)

As for the space-group type: No. 221. The energy relative to the elements, uncorrected comes out at 0.93 eV/atom. The value obtained for the total magnetization is 0.00 μB per formula unit. For the distance to the lowest polymorph of the same formula, the calculation gives 1637 meV per atom. The volume is 19.75 Å³ per atom. The calculation puts the density of states at the Fermi level at 1.013 states/eV/atom.

No. 5
Below is an optimized crystal structure of Mg8SiPt2, with properties calculated at the PBE level.

Lattice parameters (Å, degrees): 7.950 7.950 7.950 147.05 130.15 61.06
Fractional coordinates of all 11 atoms:
Mg (0.116, 0.343, 0.773)
Mg (0.168, 0.168, 0.000)
Mg (0.290, 0.000, 0.290)
Mg (0.430, 0.657, 0.773)
Mg (0.570, 0.343, 0.227)
Mg (0.710, 0.000, 0.710)
Mg (0.832, 0.832, 0.000)
Mg (0.884, 0.657, 0.227)
Si (0.000, 0.500, 0.500)
Pt (0.320, 0.820, 0.500)
Pt (0.680, 0.180, 0.500)

As for the space-group type: No. 71. The energy relative to the elements, uncorrected comes out at -0.42 eV/atom. The value obtained for the total magnetization is 0.00 μB per formula unit. The volume is 18.81 Å³ per atom. The calculation puts the density of states at the Fermi level at 0.394 states/eV/atom.

No. 6
Below is an optimized crystal structure of MgSiPt, with properties calculated at the PBE level.

Lattice parameters (Å, degrees): 3.342 3.342 8.842 90.00 90.00 90.00
Fractional coordinates of all 6 atoms:
Mg (0.000, 0.000, 0.000)
Mg (0.500, 0.500, 0.500)
Si (0.000, 0.000, 0.697)
Si (0.500, 0.500, 0.197)
Pt (0.000, 0.000, 0.303)
Pt (0.500, 0.500, 0.803)

As for the space-group type: No. 107. The energy relative to the elements, uncorrected comes out at -0.49 eV/atom. The value obtained for the total magnetization is 0.00 μB per formula unit. The volume is 16.46 Å³ per atom. The calculation puts the density of states at the Fermi level at 0.333 states/eV/atom.

No. 7
Below is an optimized crystal structure of Mg5SiPt6, with properties calculated at the PBE level.

Lattice parameters (Å, degrees): 7.476 7.476 4.170 106.06 106.06 57.06
Fractional coordinates of all 12 atoms:
Mg (0.000, 0.000, 0.000)
Mg (0.159, 0.159, 0.659)
Mg (0.322, 0.322, 0.321)
Mg (0.678, 0.678, 0.679)
Mg (0.841, 0.841, 0.341)
Si (0.500, 0.500, 0.000)
Pt (0.103, 0.573, 0.838)
Pt (0.281, 0.719, 0.500)
Pt (0.427, 0.897, 0.162)
Pt (0.573, 0.103, 0.838)
Pt (0.719, 0.281, 0.500)
Pt (0.897, 0.427, 0.162)

As for the space-group type: No. 12. The energy relative to the elements, uncorrected comes out at -0.84 eV/atom. The value obtained for the total magnetization is 0.00 μB per formula unit. The volume is 15.47 Å³ per atom. The calculation puts the density of states at the Fermi level at 0.219 states/eV/atom.

No. 8
Below is an optimized crystal structure of MgSiPt4, with properties calculated at the PBE level.

Lattice parameters (Å, degrees): 4.080 4.080 5.977 90.00 90.00 90.00
Fractional coordinates of all 6 atoms:
Mg (0.000, 0.000, 0.000)
Si (0.500, 0.500, 0.500)
Pt (0.000, 0.500, 0.266)
Pt (0.000, 0.500, 0.734)
Pt (0.500, 0.000, 0.266)
Pt (0.500, 0.000, 0.734)

As for the space-group type: No. 123. The energy relative to the elements, uncorrected comes out at -0.57 eV/atom. The value obtained for the total magnetization is 0.00 μB per formula unit. For the distance to the lowest polymorph of the same formula, the calculation gives 0 meV per atom. The volume is 16.59 Å³ per atom. The calculation puts the density of states at the Fermi level at 0.399 states/eV/atom.